No. 1
# GGA-PBE CaCdPt, relaxed
# volume: 301.8 Å³ per cell
# M_tot: 0.0000 μB/atom
# N(E_F): 0.3829 states/eV/atom
# energy of formation from the pure elements: -0.47 eV/atom
# space group: Fmmm
data_CaCdPt
_chemical_formula_sum 'Ca4 Cd4 Pt4'
_cell_length_a 10.5024
_cell_length_b 7.9170
_cell_length_c 7.9117
_cell_angle_alpha 83.13
_cell_angle_beta 48.45
_cell_angle_gamma 48.41
_space_group_name_H-M_alt 'P 1'
_space_group_IT_number 1
loop_
_space_group_symop_operation_xyz
'x,y,z'
loop_
_atom_site_label
_atom_site_fract_x
_atom_site_fract_y
_atom_site_fract_z
Ca1 0.9998 0.2640 0.7360
Ca2 0.0002 0.7360 0.2640
Ca3 0.2640 0.9998 0.0002
Ca4 0.7360 0.0002 0.9998
Cd1 0.3428 0.6572 0.3428
Cd2 0.3445 0.3445 0.6555
Cd3 0.6555 0.6555 0.3445
Cd4 0.6572 0.3428 0.6572
Pt1 0.1326 0.4997 0.5003
Pt2 0.4997 0.1326 0.8674
Pt3 0.5003 0.8674 0.1326
Pt4 0.8674 0.5003 0.4997

No. 2
# GGA-PBE Ca2CdPt2, relaxed
# volume: 113.9 Å³ per cell
# M_tot: 0.0000 μB/atom
# N(E_F): 0.3672 states/eV/atom
# energy of formation from the pure elements: -0.83 eV/atom
# space group: Immm
data_Ca2CdPt2
_chemical_formula_sum 'Ca2 Cd1 Pt2'
_cell_length_a 5.6596
_cell_length_b 5.6596
_cell_length_c 5.6596
_cell_angle_alpha 132.96
_cell_angle_beta 117.07
_cell_angle_gamma 82.16
_space_group_name_H-M_alt 'P 1'
_space_group_IT_number 1
loop_
_space_group_symop_operation_xyz
'x,y,z'
loop_
_atom_site_label
_atom_site_fract_x
_atom_site_fract_y
_atom_site_fract_z
Ca1 0.2014 0.2014 0.0000
Ca2 0.7986 0.7986 0.0000
Cd1 0.5000 0.0000 0.5000
Pt1 0.2256 0.5000 0.7256
Pt2 0.7744 0.5000 0.2744

No. 3
# GGA-PBE Ca2Cd2Pt, relaxed
# volume: 140.7 Å³ per cell
# M_tot: 0.0000 μB/atom
# N(E_F): 0.5582 states/eV/atom
# energy of formation from the pure elements: -0.15 eV/atom
# energy above the most stable polymorph in this dataset: 218 meV/atom
# space group: I4/mmm
data_Ca2Cd2Pt
_chemical_formula_sum 'Ca2 Cd2 Pt1'
_cell_length_a 5.7819
_cell_length_b 5.7819
_cell_length_c 5.7819
_cell_angle_alpha 117.90
_cell_angle_beta 117.90
_cell_angle_gamma 93.67
_space_group_name_H-M_alt 'P 1'
_space_group_IT_number 1
loop_
_space_group_symop_operation_xyz
'x,y,z'
loop_
_atom_site_label
_atom_site_fract_x
_atom_site_fract_y
_atom_site_fract_z
Ca1 0.2500 0.7500 0.5000
Ca2 0.7500 0.2500 0.5000
Cd1 0.1659 0.1659 0.0000
Cd2 0.8341 0.8341 0.0000
Pt1 0.5000 0.5000 0.0000